# CsTaFe2Tc

A crystal of CsTaFe2Tc relaxed with PBEsol (SCAN, the Alexandria database).

abc: 4.8740 4.8740 4.7377
angles: 90.00 90.00 90.00
With the nearest neighbours (Å) after each atom.
Element x y z (fractional)
Cs1 0.0000 0.0000 0.0000  8 Fe 3.40, 4 Ta 3.45
Ta1 0.5000 0.5000 0.0000  2 Tc 2.37
Fe1 0.0000 0.5000 0.5000  2 Tc 2.44
Fe2 0.5000 0.0000 0.5000  2 Tc 2.44
Tc1 0.5000 0.5000 0.5000  2 Ta 2.37, 4 Fe 2.44

Properties
Calculated formation energy = 1.43 eV per atom
Electronic total energy = -33.71 eV/atom